Sr5MgSn4: optimized geometry, PBE.

Lattice parameters (Å, degrees): 17.652 4.633 9.265 90.00 99.63 90.00
Space group C2/m (No. 12)
Inequivalent atoms, fractional coordinates:
Sr (0.000, 0.000, 0.000) x2
Sr (0.162, 0.500, 0.611) x4
Sr (0.172, 0.500, 0.088) x4
Mg (0.000, 0.000, 0.500) x2
Sn (0.010, 0.500, 0.270) x4
Sn (0.133, 0.000, 0.335) x4

The value obtained for the raw total energy is -29.96 eV/f.u. As for the density of states at the Fermi level: 11.8 states/eV per cell. As for the formation enthalpy at 0 K: -0.39 eV/atom.